1.
Entry from Alexandria via LeMat-Bulk: an optimized crystal structure of ErNb2Se6 (PBE).

a = 6.877 Å, b = 6.877 Å, c = 9.117 Å
α = 115.86°, β = 115.86°, γ = 41.07°
Fractional coordinates of all 9 atoms:
Er: 0.000 0.000 0.000
Nb: 0.174 0.174 0.621
Nb: 0.826 0.826 0.379
Se: 0.016 0.016 0.701
Se: 0.301 0.301 0.447
Se: 0.352 0.352 0.900
Se: 0.648 0.648 0.100
Se: 0.699 0.699 0.553
Se: 0.984 0.984 0.299

## Properties
As for the total magnetization: 1.00 μB/cell. The calculation puts the total DFT energy (no corrections) at -52.97 eV per cell. The uncorrected formation energy comes out at -0.82 eV per atom. As for the theoretical density: 5.48 g/cm3.

=====

2.
Entry from Alexandria via LeMat-Bulk: an optimized crystal structure of BeAl2Ni (PBE).

a = 3.612 Å, b = 3.612 Å, c = 7.501 Å
α = 90.00°, β = 90.00°, γ = 90.00°
Fractional coordinates of all 8 atoms:
Be: 0.000 0.000 0.000
Be: 0.500 0.500 0.500
Al: 0.000 0.000 0.500
Al: 0.000 0.500 0.250
Al: 0.500 0.000 0.750
Al: 0.500 0.500 0.000
Ni: 0.000 0.500 0.750
Ni: 0.500 0.000 0.250

## Properties
As for the total magnetization: 0.00 μB/cell. The calculation puts the total DFT energy (no corrections) at -35.58 eV per cell. For the energy of formation from the pure elements, the calculation gives -0.80 eV/f.u. As for the theoretical density: 4.13 g/cm3.

=====

3.
Entry from Alexandria via LeMat-Bulk: an optimized crystal structure of LiCo5Se8 (PBE).

a = 7.086 Å, b = 7.086 Å, c = 7.086 Å
α = 60.00°, β = 60.00°, γ = 60.00°
Fractional coordinates of all 14 atoms:
Li: 0.000 0.000 0.000
Co: 0.120 0.627 0.627
Co: 0.250 0.250 0.250
Co: 0.627 0.120 0.627
Co: 0.627 0.627 0.120
Co: 0.627 0.627 0.627
Se: 0.384 0.384 0.384
Se: 0.384 0.384 0.848
Se: 0.384 0.848 0.384
Se: 0.419 0.860 0.860
Se: 0.848 0.384 0.384
Se: 0.860 0.419 0.860
Se: 0.860 0.860 0.419
Se: 0.860 0.860 0.860

## Properties
As for the total magnetization: 1.52 μB/cell. The calculation puts the total DFT energy (no corrections) at -70.39 eV per cell. The uncorrected formation energy comes out at -0.36 eV per atom. As for the theoretical density: 6.16 g/cm3.

=====

4.
Entry from Alexandria via LeMat-Bulk: an optimized crystal structure of MnV2Fe7Ge2 (PBE).

a = 12.753 Å, b = 12.753 Å, c = 12.753 Å
α = 164.43°, β = 164.43°, γ = 22.09°
Fractional coordinates of all 12 atoms:
Mn: 0.000 0.000 0.000
V: 0.331 0.331 0.000
V: 0.669 0.669 0.000
Fe: 0.071 0.571 0.500
Fe: 0.236 0.236 0.000
Fe: 0.429 0.929 0.500
Fe: 0.500 0.500 0.000
Fe: 0.571 0.071 0.500
Fe: 0.764 0.764 0.000
Fe: 0.929 0.429 0.500
Ge: 0.140 0.140 0.000
Ge: 0.860 0.860 0.000

## Properties
As for the total magnetization: 7.66 μB/cell. The calculation puts the total DFT energy (no corrections) at -95.67 eV per cell. For the energy of formation from the pure elements, the calculation gives 0.21 eV/f.u. As for the theoretical density: 7.70 g/cm3.

=====

5.
Entry from Alexandria via LeMat-Bulk: an optimized crystal structure of LiTlAsO3 (PBE).

a = 5.809 Å, b = 5.809 Å, c = 5.692 Å
α = 90.00°, β = 90.00°, γ = 120.35°
Fractional coordinates of all 12 atoms:
Li: 0.083 0.917 0.750
Li: 0.917 0.083 0.250
Tl: 0.229 0.771 0.250
Tl: 0.771 0.229 0.750
As: 0.460 0.540 0.750
As: 0.540 0.460 0.250
O: 0.261 0.261 0.000
O: 0.261 0.261 0.500
O: 0.286 0.714 0.750
O: 0.714 0.286 0.250
O: 0.739 0.739 0.000
O: 0.739 0.739 0.500

## Properties
As for the total magnetization: 0.00 μB/cell. The calculation puts the total DFT energy (no corrections) at -61.21 eV per cell. The uncorrected formation energy comes out at -1.13 eV per atom. As for the theoretical density: 6.70 g/cm3.

=====

6.
Entry from Alexandria via LeMat-Bulk: an optimized crystal structure of Ho2Co3Sn2 (PBE).

a = 7.114 Å, b = 7.114 Å, c = 7.114 Å
α = 109.47°, β = 109.47°, γ = 109.47°
Fractional coordinates of all 14 atoms:
Ho: 0.000 0.014 0.500
Ho: 0.014 0.500 0.000
Ho: 0.486 0.486 0.486
Ho: 0.500 0.000 0.014
Co: 0.032 0.250 0.282
Co: 0.218 0.468 0.750
Co: 0.250 0.282 0.032
Co: 0.282 0.032 0.250
Co: 0.468 0.750 0.218
Co: 0.750 0.218 0.468
Sn: 0.000 0.589 0.500
Sn: 0.500 0.000 0.589
Sn: 0.589 0.500 0.000
Sn: 0.911 0.911 0.911

## Properties
As for the total magnetization: 0.00 μB/cell. The calculation puts the total DFT energy (no corrections) at -79.26 eV per cell. For the energy of formation from the pure elements, the calculation gives -1.15 eV/f.u. As for the theoretical density: 8.92 g/cm3.

=====

7.
Entry from Alexandria via LeMat-Bulk: an optimized crystal structure of K2InBi (PBE).

a = 8.411 Å, b = 8.411 Å, c = 8.411 Å
α = 90.00°, β = 90.00°, γ = 90.00°
Fractional coordinates of all 16 atoms:
K: 0.250 0.250 0.250
K: 0.250 0.250 0.750
K: 0.250 0.750 0.250
K: 0.250 0.750 0.750
K: 0.750 0.250 0.250
K: 0.750 0.250 0.750
K: 0.750 0.750 0.250
K: 0.750 0.750 0.750
In: 0.000 0.000 0.000
In: 0.000 0.500 0.500
In: 0.500 0.000 0.500
In: 0.500 0.500 0.000
Bi: 0.000 0.000 0.500
Bi: 0.000 0.500 0.000
Bi: 0.500 0.000 0.000
Bi: 0.500 0.500 0.500

## Properties
As for the total magnetization: 0.00 μB/cell. The calculation puts the total DFT energy (no corrections) at -37.88 eV per cell. For the energy of formation from the pure elements, the calculation gives -0.65 eV/f.u. As for the theoretical density: 4.49 g/cm3.

=====

8.
Entry from Alexandria via LeMat-Bulk: an optimized crystal structure of RbIrS2Cl (PBE).

a = 6.106 Å, b = 6.106 Å, c = 5.955 Å
α = 90.00°, β = 90.00°, γ = 90.00°
Fractional coordinates of all 5 atoms:
Rb: 0.000 0.000 0.000
Ir: 0.500 0.500 0.500
S: 0.000 0.500 0.000
S: 0.500 0.000 0.000
Cl: 0.000 0.000 0.500

## Properties
As for the total magnetization: 7.04 μB/cell. The calculation puts the total DFT energy (no corrections) at -10.57 eV per cell. The uncorrected formation energy comes out at 1.87 eV per atom. As for the theoretical density: 2.82 g/cm3. The relative energy among the computed polymorphs is 2.2289 eV per atom.

=====

9.
Entry from Alexandria via LeMat-Bulk: an optimized crystal structure of AgPb2Cl (PBE).

a = 8.170 Å, b = 8.153 Å, c = 3.369 Å
α = 90.00°, β = 109.27°, γ = 90.00°
Fractional coordinates of all 8 atoms:
Ag: 0.000 0.000 0.000
Ag: 0.500 0.500 0.000
Pb: 0.250 0.250 0.500
Pb: 0.250 0.750 0.500
Pb: 0.750 0.250 0.500
Pb: 0.750 0.750 0.500
Cl: 0.000 0.500 0.000
Cl: 0.500 0.000 0.000

## Properties
As for the total magnetization: 0.00 μB/cell. The calculation puts the total DFT energy (no corrections) at -25.90 eV per cell. The uncorrected formation energy comes out at -0.21 eV per atom. As for the theoretical density: 8.74 g/cm3.

=====

10.
Entry from Alexandria via LeMat-Bulk: an optimized crystal structure of PaAgSbO5 (PBE).

a = 5.984 Å, b = 5.984 Å, c = 7.421 Å
α = 109.71°, β = 109.71°, γ = 91.05°
Fractional coordinates of all 16 atoms:
Pa: 0.083 0.917 0.750
Pa: 0.917 0.083 0.250
Ag: 0.000 0.500 0.000
Ag: 0.500 0.000 0.500
Sb: 0.475 0.525 0.750
Sb: 0.525 0.475 0.250
O: 0.162 0.838 0.250
O: 0.164 0.217 0.115
O: 0.217 0.164 0.615
O: 0.238 0.642 0.551
O: 0.358 0.762 0.949
O: 0.642 0.238 0.051
O: 0.762 0.358 0.449
O: 0.783 0.836 0.385
O: 0.836 0.783 0.885
O: 0.838 0.162 0.750

## Properties
As for the total magnetization: 0.00 μB/cell. The calculation puts the total DFT energy (no corrections) at -110.08 eV per cell. The uncorrected formation energy comes out at -1.72 eV per atom. As for the theoretical density: 7.71 g/cm3.

=====

11.
Entry from Alexandria via LeMat-Bulk: an optimized crystal structure of NaLiCoN (PBE).

a = 2.968 Å, b = 2.968 Å, c = 22.652 Å
α = 90.00°, β = 90.00°, γ = 120.00°
Fractional coordinates of all 12 atoms:
Na: 0.000 0.000 0.000
Na: 0.333 0.667 0.667
Na: 0.667 0.333 0.333
Li: 0.000 0.000 0.803
Li: 0.333 0.667 0.470
Li: 0.667 0.333 0.136
Co: 0.000 0.000 0.553
Co: 0.333 0.667 0.220
Co: 0.667 0.333 0.886
N: 0.000 0.000 0.189
N: 0.333 0.667 0.856
N: 0.667 0.333 0.523

## Properties
As for the total magnetization: 0.00 μB/cell. The calculation puts the total DFT energy (no corrections) at -56.91 eV per cell. The uncorrected formation energy comes out at -0.08 eV per atom. As for the theoretical density: 2.97 g/cm3.

=====

12.
Entry from Alexandria via LeMat-Bulk: an optimized crystal structure of CuAsRu2 (PBE).

a = 5.491 Å, b = 8.341 Å, c = 2.826 Å
α = 90.00°, β = 118.23°, γ = 90.00°
Fractional coordinates of all 8 atoms:
Cu: 0.000 0.000 0.000
Cu: 0.500 0.500 0.000
As: 0.000 0.500 0.000
As: 0.500 0.000 0.000
Ru: 0.250 0.250 0.500
Ru: 0.250 0.750 0.500
Ru: 0.750 0.250 0.500
Ru: 0.750 0.750 0.500

## Properties
As for the total magnetization: 0.00 μB/cell. The calculation puts the total DFT energy (no corrections) at -52.21 eV per cell. For the energy of formation from the pure elements, the calculation gives 1.19 eV/f.u. As for the theoretical density: 9.92 g/cm3.

=====

13.
Entry from Alexandria via LeMat-Bulk: an optimized crystal structure of Nd6Y2In3 (PBE).

a = 12.950 Å, b = 12.950 Å, c = 12.950 Å
α = 155.60°, β = 155.60°, γ = 34.77°
Fractional coordinates of all 11 atoms:
Nd: 0.099 0.599 0.500
Nd: 0.198 0.198 0.000
Nd: 0.401 0.901 0.500
Nd: 0.599 0.099 0.500
Nd: 0.802 0.802 0.000
Nd: 0.901 0.401 0.500
Y: 0.058 0.058 0.000
Y: 0.942 0.942 0.000
In: 0.326 0.326 0.000
In: 0.500 0.500 0.000
In: 0.674 0.674 0.000

## Properties
As for the total magnetization: 0.00 μB/cell. The calculation puts the total DFT energy (no corrections) at -47.52 eV per cell. For the energy of formation from the pure elements, the calculation gives 2.23 eV/f.u. As for the theoretical density: 6.23 g/cm3.

=====

14.
Entry from Alexandria via LeMat-Bulk: an optimized crystal structure of SmU2Ga9 (PBE).

a = 4.281 Å, b = 4.281 Å, c = 12.888 Å
α = 90.00°, β = 90.00°, γ = 90.00°
Fractional coordinates of all 12 atoms:
Sm: 0.000 0.000 0.000
U: 0.000 0.000 0.335
U: 0.000 0.000 0.665
Ga: 0.000 0.500 0.171
Ga: 0.000 0.500 0.500
Ga: 0.000 0.500 0.829
Ga: 0.500 0.000 0.171
Ga: 0.500 0.000 0.500
Ga: 0.500 0.000 0.829
Ga: 0.500 0.500 0.000
Ga: 0.500 0.500 0.335
Ga: 0.500 0.500 0.665

## Properties
As for the total magnetization: 4.65 μB/cell. The calculation puts the total DFT energy (no corrections) at -58.59 eV per cell. For the energy of formation from the pure elements, the calculation gives -4.06 eV/f.u. As for the theoretical density: 8.82 g/cm3.

=====

15.
Entry from Alexandria via LeMat-Bulk: an optimized crystal structure of SrLa2TlFe (PBE).

a = 5.306 Å, b = 5.306 Å, c = 5.455 Å
α = 90.00°, β = 90.00°, γ = 90.00°
Fractional coordinates of all 5 atoms:
Sr: 0.000 0.000 0.000
La: 0.000 0.500 0.500
La: 0.500 0.000 0.500
Tl: 0.500 0.500 0.000
Fe: 0.500 0.500 0.500

## Properties
As for the total magnetization: 0.00 μB/cell. The calculation puts the total DFT energy (no corrections) at -22.48 eV per cell. For the energy of formation from the pure elements, the calculation gives -0.11 eV/f.u. As for the theoretical density: 6.77 g/cm3. The relative energy among the computed polymorphs is 0.0000 eV per atom.

=====

16.
Entry from Alexandria via LeMat-Bulk: an optimized crystal structure of Pr5Ho7 (PBE).

a = 9.550 Å, b = 9.550 Å, c = 13.240 Å
α = 117.61°, β = 117.61°, γ = 21.88°
Fractional coordinates of all 12 atoms:
Pr: 0.000 0.000 0.000
Pr: 0.165 0.165 0.497
Pr: 0.305 0.305 0.248
Pr: 0.695 0.695 0.752
Pr: 0.835 0.835 0.503
Ho: 0.028 0.028 0.751
Ho: 0.334 0.334 0.004
Ho: 0.363 0.363 0.752
Ho: 0.500 0.500 0.500
Ho: 0.637 0.637 0.248
Ho: 0.666 0.666 0.996
Ho: 0.972 0.972 0.249

## Properties
As for the total magnetization: 0.00 μB/cell. The calculation puts the total DFT energy (no corrections) at -55.86 eV per cell. For the energy of formation from the pure elements, the calculation gives 0.08 eV/f.u. As for the theoretical density: 7.78 g/cm3. The relative energy among the computed polymorphs is 0.0000 eV per atom.

=====

17.
Entry from Alexandria via LeMat-Bulk: an optimized crystal structure of CsNbP2S8 (PBE).

a = 10.750 Å, b = 10.750 Å, c = 10.750 Å
α = 32.88°, β = 32.88°, γ = 32.88°
Fractional coordinates of all 12 atoms:
Cs: 0.000 0.000 0.000
Nb: 0.500 0.500 0.500
P: 0.233 0.233 0.233
P: 0.767 0.767 0.767
S: 0.115 0.791 0.460
S: 0.209 0.540 0.885
S: 0.298 0.298 0.298
S: 0.460 0.115 0.791
S: 0.540 0.885 0.209
S: 0.702 0.702 0.702
S: 0.791 0.460 0.115
S: 0.885 0.209 0.540

## Properties
As for the total magnetization: 0.00 μB/cell. The calculation puts the total DFT energy (no corrections) at -60.78 eV per cell. The uncorrected formation energy comes out at -0.50 eV per atom. As for the theoretical density: 2.77 g/cm3.

=====

18.
Entry from Alexandria via LeMat-Bulk: an optimized crystal structure of K3U2CdO9 (PBE).

a = 6.106 Å, b = 6.106 Å, c = 7.467 Å
α = 90.00°, β = 90.00°, γ = 120.00°
Fractional coordinates of all 15 atoms:
K: 0.000 0.000 0.000
K: 0.333 0.667 0.656
K: 0.667 0.333 0.344
U: 0.333 0.667 0.168
U: 0.667 0.333 0.832
Cd: 0.000 0.000 0.500
O: 0.000 0.500 0.000
O: 0.176 0.352 0.318
O: 0.176 0.824 0.318
O: 0.352 0.176 0.682
O: 0.500 0.000 0.000
O: 0.500 0.500 0.000
O: 0.648 0.824 0.318
O: 0.824 0.176 0.682
O: 0.824 0.648 0.682

## Properties
As for the total magnetization: 0.00 μB/cell. The calculation puts the total DFT energy (no corrections) at -107.12 eV per cell. The uncorrected formation energy comes out at -2.38 eV per atom. As for the theoretical density: 5.85 g/cm3.

=====

19.
Entry from Alexandria via LeMat-Bulk: an optimized crystal structure of RbScGaCu2 (PBE).

a = 4.856 Å, b = 4.856 Å, c = 5.233 Å
α = 90.00°, β = 90.00°, γ = 90.00°
Fractional coordinates of all 5 atoms:
Rb: 0.000 0.000 0.000
Sc: 0.500 0.500 0.000
Ga: 0.500 0.500 0.500
Cu: 0.000 0.500 0.500
Cu: 0.500 0.000 0.500

## Properties
As for the total magnetization: 1.13 μB/cell. The calculation puts the total DFT energy (no corrections) at -16.21 eV per cell. For the energy of formation from the pure elements, the calculation gives 2.31 eV/f.u. As for the theoretical density: 4.40 g/cm3.